{
  "formula": "TaCdGa2Te",
  "functional": "meta-GGA SCAN",
  "state": "PBEsol geometry",
  "e_form_raw_ev_per_atom": 1.32,
  "volume_a3_per_atom": 28.23,
  "spacegroup": "P4/mmm",
  "lattice_angstrom": [[5.251, 0.000, 0.000], [0.000, 5.251, 0.000], [0.000, 0.000, 5.118]],
  "species": ["Ta", "Cd", "Ga", "Ga", "Te"],
  "frac_coords": [[0.000, 0.000, 0.000], [0.500, 0.500, 0.000], [0.000, 0.500, 0.500], [0.500, 0.000, 0.500], [0.000, 0.000, 0.500]]
}

=====

{
  "formula": "SrCoPb2",
  "functional": "meta-GGA SCAN",
  "state": "PBEsol geometry",
  "ef_ev_per_atom": 0.103,
  "volume_a3_per_atom": 23.10,
  "spacegroup": "P4/mmm",
  "lattice_angstrom": [[3.417, 0.000, 0.000], [0.000, 3.417, 0.000], [0.000, 0.000, 7.913]],
  "species": ["Sr", "Co", "Pb", "Pb"],
  "frac_coords": [[0.000, 0.000, 0.000], [0.000, 0.000, 0.500], [0.500, 0.500, 0.307], [0.500, 0.500, 0.693]]
}

=====

{
  "formula": "CrNi2",
  "functional": "meta-GGA SCAN",
  "state": "PBEsol geometry",
  "ef_ev_per_atom": 0.128,
  "volume_a3_per_atom": 10.56,
  "spacegroup": "P6/mmm",
  "lattice_angstrom": [[3.940, 0.000, 0.000], [-1.970, 3.412, 0.000], [0.000, 0.000, 2.356]],
  "species": ["Cr", "Ni", "Ni"],
  "frac_coords": [[0.000, 0.000, 0.000], [0.333, 0.667, 0.500], [0.667, 0.333, 0.500]]
}

=====

{
  "formula": "Mn2PSe",
  "functional": "meta-GGA SCAN",
  "state": "PBEsol geometry",
  "e_form_raw_ev_per_atom": -0.16,
  "volume_a3_per_atom": 13.15,
  "polymorph_energy_mev_per_atom": 366.3,
  "spacegroup": "Pm",
  "lattice_angstrom": [[2.970, 0.000, 0.000], [0.000, 4.399, 0.000], [-1.467, 0.000, 4.026]],
  "species": ["Mn", "Mn", "P", "Se"],
  "frac_coords": [[0.000, 0.000, 0.000], [0.408, 0.500, 0.814], [0.105, 0.500, 0.213], [0.294, 0.000, 0.582]]
}

=====

{
  "formula": "BaNa2Au",
  "functional": "meta-GGA SCAN",
  "state": "PBEsol geometry",
  "ef_ev_per_atom": -0.152,
  "volume_a3_per_atom": 28.74,
  "spacegroup": "Fm-3m",
  "lattice_angstrom": [[0.000, 3.859, 3.859], [3.859, 0.000, 3.859], [3.859, 3.859, 0.000]],
  "species": ["Ba", "Na", "Na", "Au"],
  "frac_coords": [[0.000, 0.000, 0.000], [0.250, 0.250, 0.250], [0.750, 0.750, 0.750], [0.500, 0.500, 0.500]]
}

=====

{
  "formula": "InSb2Os",
  "functional": "meta-GGA SCAN",
  "state": "PBEsol geometry",
  "e_form_raw_ev_per_atom": 0.87,
  "volume_a3_per_atom": 20.80,
  "spacegroup": "P4/mmm",
  "lattice_angstrom": [[4.357, 0.000, 0.000], [0.000, 4.357, 0.000], [0.000, 0.000, 4.383]],
  "species": ["In", "Sb", "Sb", "Os"],
  "frac_coords": [[0.000, 0.000, 0.000], [0.000, 0.500, 0.500], [0.500, 0.000, 0.500], [0.500, 0.500, 0.000]]
}

=====

In eV per atom, the total DFT energy (no corrections) values for the records above are, in order, -32.0695, -47.6820, -16.7828, -16.9114, -29.4363, -44.0809.